# 1
Pm6Te3P2Pt | GGA-PBE | relaxed

Cell: 4.2276 8.7923 9.7341 Å, 104.43 102.54 90.00°
Positions (direct):
Pm: 0.6745 0.5636 0.3491
Pm: 0.0087 0.2312 0.0175
Pm: 0.6633 0.1074 0.3265
Pm: 0.3367 0.8926 0.6735
Te: 0.8336 0.1680 0.6671
P: 0.8322 0.6639 0.6644
Te: 0.5000 0.5000 0.0000
Pm: 0.9913 0.7688 0.9825
P: 0.1678 0.3361 0.3356
Pm: 0.3255 0.4364 0.6509
Pt: 0.5000 0.0000 0.0000
Te: 0.1664 0.8320 0.3329

Properties
**Uncorrected energy**: -0.221 Ha/atom
**ΔE_f (raw)**: -1459 meV/atom
**ρ**: 7.342 g/cm3
**Crystal system**: monoclinic
**Symmetry**: C2/m, No. 12
**DOS(E_F)**: 6.75 states/eV/cell

***

# 2
Pm8Te4PPt3 | GGA-PBE | relaxed

Cell: 8.5157 8.8830 8.5158 Å, 118.64 120.00 90.00°
Positions (direct):
Te: 0.0000 0.0000 0.0000
Pm: 0.7376 0.7127 0.4752
Te: 0.0000 0.0000 0.5000
Pm: 0.7613 0.2832 0.0219
Pm: 0.2624 0.2873 0.5248
Te: 0.5000 0.0000 0.5000
P: 0.0000 0.5000 0.0000
Pt: 0.5000 0.5000 0.0000
Pm: 0.2606 0.2832 0.0219
Pt: 0.0000 0.5000 0.5000
Pt: 0.5000 0.5000 0.5000
Pm: 0.2387 0.7168 0.9781
Pm: 0.7613 0.2833 0.5226
Pm: 0.2387 0.7167 0.4774
Te: 0.5000 0.0000 0.0000
Pm: 0.7394 0.7168 0.9781

Properties
**Uncorrected energy**: -0.218 Ha/atom
**ΔE_f (raw)**: -1311 meV/atom
**ρ**: 8.172 g/cm3
**Crystal system**: trigonal
**Symmetry**: R-3m, No. 166
**DOS(E_F)**: 12.06 states/eV/cell

***

# 3
Pm4Te2PPt | GGA-PBE | relaxed

Cell: 4.2311 7.5063 7.6388 Å, 108.73 90.00 90.00°
Positions (direct):
Pm: 0.5000 0.2330 0.2181
P: 0.0000 0.0000 0.0000
Pm: 0.5000 0.7670 0.7819
Te: 0.5000 0.0000 0.5000
Pm: 0.0000 0.7379 0.2135
Te: 0.0000 0.5000 0.5000
Pt: 0.5000 0.5000 0.0000
Pm: 0.0000 0.2621 0.7865

Properties
**Uncorrected energy**: -0.220 Ha/atom
**ΔE_f (raw)**: -1387 meV/atom
**ρ**: 7.670 g/cm3
**Crystal system**: monoclinic
**Symmetry**: P2/m, No. 10
**DOS(E_F)**: 5.79 states/eV/cell

***

# 4
Pm2TiP3Pt4 | GGA-PBE | relaxed

Cell: 4.1478 4.1478 10.4599 Å, 90.00 90.00 90.00°
Positions (direct):
Pt: 0.5000 0.5000 0.0000
Pt: 0.5000 0.0000 0.6373
Pt: 0.0000 0.0000 0.0000
Ti: 0.5000 0.5000 0.5000
Pm: 0.5000 0.0000 0.2314
P: 0.5000 0.0000 0.8636
P: 0.0000 0.5000 0.1364
Pt: 0.0000 0.5000 0.3627
P: 0.0000 0.0000 0.5000
Pm: 0.0000 0.5000 0.7686

Properties
**Uncorrected energy**: -0.249 Ha/atom
**ρ**: 11.176 g/cm3
**Crystal system**: tetragonal
**Symmetry**: P-4m2, No. 115
**DOS(E_F)**: 5.02 states/eV/cell

***

# 5
Pm2TmP3Pt12 | GGA-PBE | relaxed

Cell: 7.7183 7.7183 7.7183 Å, 64.90 64.90 64.90°
Positions (direct):
Pt: 0.6014 0.1406 0.1406
Pt: 0.8976 0.3410 0.3410
P: 0.5000 0.0000 0.0000
P: 0.0000 0.5000 0.0000
Pt: 0.3986 0.8594 0.8594
Pt: 0.3410 0.8976 0.3410
P: 0.0000 0.0000 0.5000
Pm: 0.3996 0.3996 0.3996
Pt: 0.1406 0.6014 0.1406
Pt: 0.3410 0.3410 0.8976
Pt: 0.8594 0.3986 0.8594
Pt: 0.6590 0.6590 0.1024
Pm: 0.6004 0.6004 0.6004
Pt: 0.1406 0.1406 0.6014
Tm: 0.0000 0.0000 0.0000
Pt: 0.1024 0.6590 0.6590
Pt: 0.8594 0.8594 0.3986
Pt: 0.6590 0.1024 0.6590

Properties
**Uncorrected energy**: -0.228 Ha/atom
**ρ**: 13.346 g/cm3
**Crystal system**: trigonal
**Symmetry**: R-3m, No. 166
**DOS(E_F)**: 6.83 states/eV/cell

***

# 6
Pm3ZnP2Pt9 | GGA-PBE | relaxed

Cell: 5.7284 5.7284 10.6058 Å, 90.00 90.00 120.00°
Positions (direct):
Pt: 0.6731 0.8366 0.3125
P: 0.3333 0.6667 0.1605
Pt: 0.1634 0.3269 0.3125
P: 0.6667 0.3333 0.8395
Pt: 0.1634 0.8366 0.3125
Pt: 0.8366 0.6731 0.6875
Pm: 0.3333 0.6667 0.5865
Pm: 0.0000 0.0000 0.0000
Pt: 0.3269 0.1634 0.6875
Pt: 0.5000 0.5000 0.0000
Pt: 0.5000 0.0000 0.0000
Pt: 0.0000 0.5000 0.0000
Pt: 0.8366 0.1634 0.6875
Pm: 0.6667 0.3333 0.4135
Zn: 0.0000 0.0000 0.5000

Properties
**Uncorrected energy**: -0.227 Ha/atom
**ρ**: 12.771 g/cm3
**Crystal system**: trigonal
**Symmetry**: P-3m1, No. 164
**DOS(E_F)**: 6.61 states/eV/cell

***

# 7
PmPuP | GGA-PBE | relaxed

Cell: 3.6136 3.6136 6.3444 Å, 106.55 106.55 90.00°
Site moments in Bohr magnetons follow the coordinates.
Positions (direct):
Pu: 0.3235 0.3235 0.6471  5.40
P: 0.9431 0.9431 0.8862  -0.09
Pm: 0.5834 0.5834 0.1667  0.11

Properties
**Uncorrected energy**: -0.322 Ha/atom
**ρ**: 9.197 g/cm3
**E above lowest polymorph**: 8.7 kJ/mol of atoms
**Crystal system**: tetragonal
**Symmetry**: I4mm, No. 107
**DOS(E_F)**: 6.25 states/eV/cell

***

# 8
PmPu4P5 | GGA-PBE | relaxed

Cell: 4.0255 5.6885 10.6383 Å, 105.51 100.91 90.00°
Site moments in Bohr magnetons follow the coordinates.
Positions (direct):
P: 0.8014 0.3014 0.6027  0.16
P: 0.1986 0.6986 0.3973  0.16
Pu: 0.2019 0.2019 0.4038  -4.91
Pu: 0.5998 0.5998 0.1996  -4.92
Pu: 0.4002 0.4002 0.8004  -4.92
Pu: 0.7981 0.7981 0.5962  -4.91
P: 0.0000 0.5000 0.0000  0.13
P: 0.3950 0.8950 0.7899  0.13
Pm: 0.0000 0.0000 0.0000  -0.02
P: 0.6050 0.1050 0.2101  0.13

Properties
**Uncorrected energy**: -0.373 Ha/atom
**ρ**: 9.205 g/cm3
**Crystal system**: orthorhombic
**Symmetry**: Immm, No. 71
**DOS(E_F)**: 34.24 states/eV/cell

***

Question: Which formula does entry 3 have?
Answer: Pm4Te2PPt